1.
Density functional theory data (PBE) for crystalline Mg2CoSe at its relaxed geometry.

```
data_Mg2CoSe
_chemical_formula_sum 'Mg2 Co1 Se1'
_space_group_name_H-M_alt 'P 4 m m'
_space_group_IT_number 99
_space_group_name_Hall 'P 4 -2'
_cell_length_a 3.576
_cell_length_b 3.576
_cell_length_c 5.573
_cell_angle_alpha 90.00
_cell_angle_beta 90.00
_cell_angle_gamma 90.00
loop_
_atom_site_label
_atom_site_type_symbol
_atom_site_fract_x
_atom_site_fract_y
_atom_site_fract_z
Mg1 Mg 0.000 0.000 0.000
Mg2 Mg 0.500 0.500 0.313
Co1 Co 0.500 0.500 0.828
Se1 Se 0.000 0.000 0.522
```

## Properties
Formation energy from raw total energies = -0.08 eV/atom
Raw total energy = -0.129 Ha/atom

***

2.
Density functional theory data (PBE) for crystalline Th2Co6C3 at its relaxed geometry.

```
data_Th2Co6C3
_chemical_formula_sum 'Th2 Co6 C3'
_space_group_name_H-M_alt 'P -6 2 m'
_space_group_IT_number 189
_space_group_name_Hall 'P -6 -2'
_cell_length_a 6.6670
_cell_length_b 6.6670
_cell_length_c 3.6786
_cell_angle_alpha 90.00
_cell_angle_beta 90.00
_cell_angle_gamma 120.00
loop_
_atom_site_label
_atom_site_type_symbol
_atom_site_fract_x
_atom_site_fract_y
_atom_site_fract_z
Th1 Th 0.3333 0.6667 0.0000
Co1 Co 0.0000 0.2393 0.5000
Co2 Co 0.0000 0.7823 0.0000
C1 C 0.0000 0.6727 0.5000
```

## Properties
Formation enthalpy at 0 K = -0.028 eV per atom
Raw total energy = -0.285 Ha/atom

***

Q: Which value of raw total energy does entry 2 give?
A: -0.285 Ha/atom